Density functional theory data (SCAN) for a PBEsol-optimized structure of Ca3Tl4O9.

Lattice parameters (Å, degrees): 12.3071 6.6596 11.1286 90.00 102.68 90.00
Closest atoms and distances in Å follow each position.
Atoms (fractional coordinates):
Ca1 0.1277 0.1245 0.0128  6 O 2.22-2.43
Ca2 0.1277 0.3755 0.5128  6 O 2.22-2.43
Ca3 0.2834 0.6237 0.7985  6 O 2.28-2.51
Ca4 0.2834 0.8763 0.2985  6 O 2.28-2.51
Ca5 0.2955 0.1281 0.8018  4 O 2.28-2.46
Ca6 0.2955 0.3719 0.3018  4 O 2.28-2.46
Ca7 0.7045 0.6281 0.6982  4 O 2.28-2.46
Ca8 0.7045 0.8719 0.1982  4 O 2.28-2.46
Ca9 0.7166 0.1237 0.7015  6 O 2.28-2.51
Ca10 0.7166 0.3763 0.2015  6 O 2.28-2.51
Ca11 0.8723 0.6245 0.4872  6 O 2.22-2.43
Ca12 0.8723 0.8755 0.9872  6 O 2.22-2.43
Tl1 0.9996 0.1251 0.2519  6 O 2.17-2.42
Tl2 0.9996 0.3749 0.7519  6 O 2.17-2.42
Tl3 0.0004 0.6251 0.2481  6 O 2.17-2.42
Tl4 0.0004 0.8749 0.7481  6 O 2.17-2.42
Tl5 0.1292 0.6280 0.0098  6 O 2.17-2.40
Tl6 0.1292 0.8720 0.5098  6 O 2.17-2.40
Tl7 0.4357 0.1252 0.1006  3 O 2.10-2.36
Tl8 0.4357 0.3748 0.6006  3 O 2.10-2.36
Tl9 0.4375 0.6250 0.0983  6 O 2.16-2.39
Tl10 0.4375 0.8750 0.5983  6 O 2.16-2.39
Tl11 0.5625 0.1250 0.4017  6 O 2.16-2.39
Tl12 0.5625 0.3750 0.9017  6 O 2.16-2.39
Tl13 0.5643 0.6252 0.3994  3 O 2.10-2.36
Tl14 0.5643 0.8748 0.8994  3 O 2.10-2.36
Tl15 0.8708 0.1280 0.4902  6 O 2.17-2.40
Tl16 0.8708 0.3720 0.9902  6 O 2.17-2.40
O1 0.0470 0.1232 0.6166  4 Tl 2.31-2.41, 1 Ca 2.38
O2 0.0470 0.3768 0.1166  4 Tl 2.31-2.41, 1 Ca 2.38
O3 0.0564 0.6289 0.6227  3 Tl 2.34-2.42, 2 Ca 2.36-2.43
O4 0.0564 0.8711 0.1227  3 Tl 2.34-2.42, 2 Ca 2.36-2.43
O5 0.1624 0.6247 0.3739  2 Tl 2.17-2.33, 1 Ca 2.37
O6 0.1624 0.8753 0.8739  2 Tl 2.17-2.33, 1 Ca 2.37
O7 0.1630 0.1205 0.3748  2 Tl 2.17-2.33, 1 Ca 2.39
O8 0.1630 0.3795 0.8748  2 Tl 2.17-2.33, 1 Ca 2.39
O9 0.2799 0.6228 0.1533  2 Tl 2.16-2.17, 2 Ca 2.33
O10 0.2799 0.8772 0.6533  2 Tl 2.16-2.17, 2 Ca 2.33
O11 0.2836 0.1249 0.1577  1 Tl 2.10, 3 Ca 2.22-2.28
O12 0.2836 0.3751 0.6577  1 Tl 2.10, 3 Ca 2.22-2.28
O13 0.3964 0.1217 0.4435  3 Tl 2.19-2.40, 1 Ca 2.44
O14 0.3964 0.3783 0.9435  3 Tl 2.19-2.40, 1 Ca 2.44
O15 0.3986 0.6282 0.4411  3 Tl 2.19-2.42
O16 0.3986 0.8718 0.9411  3 Tl 2.19-2.42
O17 0.4948 0.1249 0.7530  4 Tl 2.36-2.39, 1 Ca 2.63
O18 0.4948 0.3751 0.2530  4 Tl 2.36-2.39, 1 Ca 2.63
O19 0.5052 0.6249 0.7470  4 Tl 2.36-2.39, 1 Ca 2.63
O20 0.5052 0.8751 0.2470  4 Tl 2.36-2.39, 1 Ca 2.63
O21 0.6014 0.1282 0.0589  3 Tl 2.19-2.42
O22 0.6014 0.3718 0.5589  3 Tl 2.19-2.42
O23 0.6036 0.6217 0.0565  3 Tl 2.19-2.40, 1 Ca 2.44
O24 0.6036 0.8783 0.5565  3 Tl 2.19-2.40, 1 Ca 2.44
O25 0.7164 0.6249 0.3423  1 Tl 2.10, 3 Ca 2.22-2.28
O26 0.7164 0.8751 0.8423  1 Tl 2.10, 3 Ca 2.22-2.28
O27 0.7201 0.1228 0.3467  2 Tl 2.16-2.17, 2 Ca 2.33
O28 0.7201 0.3772 0.8467  2 Tl 2.16-2.17, 2 Ca 2.33
O29 0.8370 0.6205 0.1252  2 Tl 2.17-2.33, 1 Ca 2.39
O30 0.8370 0.8795 0.6252  2 Tl 2.17-2.33, 1 Ca 2.39
O31 0.8376 0.1247 0.1261  2 Tl 2.17-2.33, 1 Ca 2.37
O32 0.8376 0.3753 0.6261  2 Tl 2.17-2.33, 1 Ca 2.37
O33 0.9436 0.1289 0.8773  3 Tl 2.34-2.42, 2 Ca 2.36-2.43
O34 0.9436 0.3711 0.3773  3 Tl 2.34-2.42, 2 Ca 2.36-2.43
O35 0.9530 0.6232 0.8834  4 Tl 2.31-2.41, 1 Ca 2.38
O36 0.9530 0.8768 0.3834  4 Tl 2.31-2.41, 1 Ca 2.38

Properties
raw total energy = -1606.0 eV per cell